The following is a DFT calculation (GGA-PBE) of crystalline Ce2HgPb5 at its relaxed geometry.

Cell lengths 4.877, 6.850, 13.696 Å; angles 90.00, 90.00, 90.00 degrees
Each line ends with the local moment (μB).
Fractional positions:
Pb  0.000  0.513  0.752  0.00
Pb  0.500  0.237  0.379  0.01
Pb  0.500  0.763  0.621  0.01
Pb  0.500  0.737  0.121  0.01
Pb  0.000  0.487  0.248  0.00
Pb  0.000  0.987  0.252  0.00
Pb  0.500  0.263  0.879  0.01
Pb  0.000  0.500  0.500  0.00
Pb  0.000  0.000  0.000  0.00
Pb  0.000  0.013  0.748  0.00
Hg  0.000  0.000  0.500  0.00
Hg  0.000  0.500  0.000  0.00
Ce  0.500  0.261  0.628  0.79
Ce  0.500  0.239  0.128  0.79
Ce  0.500  0.761  0.872  0.79
Ce  0.500  0.739  0.372  0.79

Calculated values
**SG**: No. 55
**E_tot**: -67.20 eV per cell
**Formation energy from the elements**: -0.36 eV/atom